*A*
Tc3BPt: optimized geometry, PBE.

Unit cell a=4.088 b=4.088 c=4.088 alpha=90.00 beta=90.00 gamma=90.00
Space group Pm-3m (No. 221)
Unique sites:
Tc: 0.000 0.000 0.500
B: 0.000 0.000 0.000
Pt: 0.500 0.500 0.500

## Properties
Total magnetization (μB per formula unit): 0.0
DOS(E_F) (states/eV per cell): 5.4


*B*
Tc3BPt: optimized geometry, PBE.

Unit cell a=4.774 b=4.774 c=4.774 alpha=90.00 beta=90.00 gamma=90.00
Space group Pm-3m (No. 221)
Unique sites:
Tc: 0.000 0.000 0.500
B: 0.500 0.500 0.500
Pt: 0.000 0.000 0.000

## Properties
Total magnetization (μB per formula unit): 4.8
DOS(E_F) (states/eV per cell): 7.7


Q: What are the energies relative to the best structure? A: *A* 0; *B* 2708, in meV/atom.


*A*
TcBPt2: optimized geometry, PBE.

Unit cell a=6.097 b=6.097 c=6.097 alpha=90.00 beta=90.00 gamma=90.00
Space group Fm-3m (No. 225)
Unique sites:
Tc: 0.000 0.000 0.000
B: 0.000 0.000 0.500
Pt: 0.250 0.250 0.250

## Properties
Total magnetization (μB per formula unit): 2.2
DOS(E_F) (states/eV per cell): 14.1


*B*
TcBPt2: optimized geometry, PBE.

Unit cell a=5.085 b=5.085 c=10.828 alpha=90.00 beta=90.00 gamma=90.00
Space group I-42d (No. 122)
Unique sites:
Tc: 0.000 0.000 0.000
B: 0.000 0.000 0.500
Pt: 0.183 0.250 0.625

## Properties
Total magnetization (μB per formula unit): 0.0
DOS(E_F) (states/eV per cell): 13.1


Q: What are the energies relative to the best structure? A: *A* 231; *B* 0, in meV/atom.


*A*
TcB3Pt: optimized geometry, PBE.

Unit cell a=4.033 b=4.033 c=4.033 alpha=90.00 beta=90.00 gamma=90.00
Space group Pm-3m (No. 221)
Unique sites:
Tc: 0.000 0.000 0.000
B: 0.000 0.000 0.500
Pt: 0.500 0.500 0.500

## Properties
Total magnetization (μB per formula unit): 0.0
DOS(E_F) (states/eV per cell): 2.1


*B*
TcB3Pt: optimized geometry, PBE.

Unit cell a=4.066 b=4.066 c=4.066 alpha=90.00 beta=90.00 gamma=90.00
Space group Pm-3m (No. 221)
Unique sites:
Tc: 0.000 0.000 0.000
B: 0.000 0.500 0.500
Pt: 0.500 0.500 0.500

## Properties
Total magnetization (μB per formula unit): 2.5
DOS(E_F) (states/eV per cell): 3.3


Q: What are the energies relative to the best structure? A: *A* 0; *B* 219, in meV/atom.


*A*
B2TePt2: optimized geometry, PBE.

Unit cell a=3.356 b=3.356 c=13.443 alpha=90.00 beta=90.00 gamma=90.00
Space group I4/mmm (No. 139)
Unique sites:
B: 0.000 0.500 0.250
Te: 0.000 0.000 0.000
Pt: 0.000 0.000 0.349

## Properties
Total magnetization (μB per formula unit): 0.0
DOS(E_F) (states/eV per cell): 2.1


*B*
B2TePt2: optimized geometry, PBE.

Unit cell a=7.260 b=7.260 c=2.930 alpha=90.00 beta=90.00 gamma=90.00
Space group P4/mbm (No. 127)
Unique sites:
B: 0.095 0.405 0.000
Te: 0.000 0.000 0.500
Pt: 0.135 0.635 0.500

## Properties
Total magnetization (μB per formula unit): 0.0
DOS(E_F) (states/eV per cell): 6.6


Q: What are the energies relative to the best structure? A: *A* 0; *B* 603, in meV/atom.